A plane-wave DFT calculation with PBEsol was carried out for K2AlHAu after structural relaxation.

```
data_K2AlHAu
_chemical_formula_sum 'K2 Al1 H1 Au1'
_cell_length_a 5.9266
_cell_length_b 5.9266
_cell_length_c 3.5951
_cell_angle_alpha 90.00
_cell_angle_beta 90.00
_cell_angle_gamma 90.00
_symmetry_space_group_name_H-M 'P 4/m m m'
_symmetry_Int_Tables_number 123
_symmetry_space_group_name_Hall '-P 4 2'
loop_
_atom_site_label
_atom_site_type_symbol
_atom_site_fract_x
_atom_site_fract_y
_atom_site_fract_z
_atom_site_occupancy
K1 K 0.0000 0.5000 0.0000 1
Al1 Al 0.0000 0.0000 0.5000 1
H1 H 0.5000 0.5000 0.0000 1
Au1 Au 0.5000 0.5000 0.5000 1
```

## Properties
**Total energy**: -2.5181 eV per atom